A relaxed U2GaNi crystal, computed with PBE-GGA.

Cell and atoms, written as CIF:
```
data_U2GaNi
_symmetry_space_group_name_H-M 'R -3 m'
_symmetry_Int_Tables_number 166
_symmetry_space_group_name_Hall '-R 3 2"'
_cell_length_a 2.8425
_cell_length_b 2.8425
_cell_length_c 30.8239
_cell_angle_alpha 90.00
_cell_angle_beta 90.00
_cell_angle_gamma 120.00
loop_
_atom_site_label
_atom_site_type_symbol
_atom_site_fract_x
_atom_site_fract_y
_atom_site_fract_z
U1 U 0.0000 0.0000 0.0817
Ga1 Ga 0.0000 0.0000 0.5000
Ni1 Ni 0.0000 0.0000 0.0000
```

Computed properties:
VASP energy	-7.59	eV/atom
energy relative to the elements	0.252	eV/atom
N(E_F)	1.8641	states/eV per atom